BaCaZnPt | PBE | optimized geometry

a b c (Å): 5.358 5.358 5.358
angles (deg): 60.00 60.00 60.00
Fractional positions:
Zn: 0.000 0.000 0.000
Ca: 0.750 0.750 0.750
Ba: 0.250 0.250 0.250
Pt: 0.500 0.500 0.500


BaCaZn2Pt2 | PBE | optimized geometry

a b c (Å): 4.489 4.489 8.121
angles (deg): 90.00 90.00 120.00
Fractional positions:
Ba: 0.000 0.000 0.000
Ca: 0.000 0.000 0.500
Zn: 0.667 0.333 0.700
Zn: 0.333 0.667 0.300
Pt: 0.667 0.333 0.289
Pt: 0.333 0.667 0.711


DOS(E_F) per entry: 3.46, 2.15 states/eV/cell
Total energy per entry: -12.87, -22.86 eV/f.u.